No. 1
BaCa2Y | PBE | relaxed

Lattice parameters (Å, degrees): 13.115 13.115 13.115 17.10 17.10 17.10
Fractional coordinates of all 4 atoms:
Ba (0.000, 0.000, 0.000)
Ca (0.243, 0.243, 0.243)
Ca (0.423, 0.423, 0.423)
Y (0.833, 0.833, 0.833)

Properties
- SG: R3m, No. 160
- Offset from the most stable computed form: 28 meV/atom
- Uncorrected energy: -2.97 eV/atom

***

No. 2
BaCa2Y | PBE | relaxed

Lattice parameters (Å, degrees): 3.745 6.142 7.450 90.00 101.24 90.00
Fractional coordinates of all 4 atoms:
Ba (0.000, 0.000, 0.000)
Ca (0.243, 0.500, 0.732)
Ca (0.757, 0.500, 0.268)
Y (0.500, 0.000, 0.500)

Properties
- SG: P2/m, No. 10
- Offset from the most stable computed form: 44 meV/atom
- Uncorrected energy: -2.95 eV/atom